The following is a PBE calculation of a relaxed structure of RbSiAu3, from the Alexandria database.

Properties
The energy relative to the elements, uncorrected comes out at 0.0423 eV per atom. The polymorph energy (0 for the lowest one) comes out at 0.317 eV/atom. The total moment is 0.000 μB/atom. Its density of states at the Fermi level is 1.00 states/eV/f.u. Its space group is P4mm.

```
RbSiAu3
1.0
5.111 0.000 0.000
0.000 5.111 0.000
0.000 0.000 6.634
Au Rb Si
3 1 1
Direct
0.000 0.500 0.732 Au
0.000 0.000 0.808 Au
0.500 0.000 0.732 Au
0.000 0.000 0.302 Rb
0.500 0.500 0.690 Si
```